Entry 1:
VASP calculation (PBE) on crystalline Y5Ho12Sc at its relaxed geometry.

Raw total energy = -182.145 eV/cell

abc: 11.447 10.353 10.951
angles: 90.00 118.75 90.00
Space group C2/m (No. 12)
Asymmetric unit:
Y  0.000  0.000  0.000 (multiplicity 2)
Y  0.000  0.170  0.500 (multiplicity 4)
Y  0.000  0.333  0.000 (multiplicity 4)
Ho  0.161  0.334  0.348 (multiplicity 8)
Ho  0.168  0.000  0.350 (multiplicity 4)
Ho  0.191  0.000  0.830 (multiplicity 4)
Ho  0.191  0.334  0.828 (multiplicity 8)
Sc  0.000  0.500  0.500 (multiplicity 2)

---

Entry 2:
VASP calculation (PBE) on crystalline Y4HoSc at its relaxed geometry.

Raw total energy = -72.455 eV/cell
E above lowest polymorph = 46 meV per atom

abc: 5.557 6.884 9.582
angles: 90.00 90.00 90.00
Space group Pmna (No. 53)
Asymmetric unit:
Y  0.000  0.245  0.181 (multiplicity 4)
Y  0.000  0.246  0.847 (multiplicity 4)
Ho  0.000  0.500  0.500 (multiplicity 2)
Sc  0.000  0.000  0.500 (multiplicity 2)

---

Entry 3:
VASP calculation (PBE) on crystalline Y2Ho5Sc at its relaxed geometry.

Raw total energy = -168.135 eV/cell
E above lowest polymorph = 0 meV per atom

abc: 7.151 11.133 12.395
angles: 90.00 90.00 90.00
Space group Fmm2 (No. 42)
Asymmetric unit:
Y  0.000  0.246  0.000 (multiplicity 8)
Ho  0.000  0.000  0.335 (multiplicity 4)
Ho  0.247  0.000  0.585 (multiplicity 8)
Ho  0.250  0.250  0.252 (multiplicity 8)
Sc  0.000  0.000  0.834 (multiplicity 4)

---

Entry 4:
VASP calculation (PBE) on crystalline Y2Ho3Sc3 at its relaxed geometry.

Raw total energy = -90.476 eV/cell
E above lowest polymorph = 0 meV per atom

abc: 4.810 4.908 19.489
angles: 90.00 90.00 90.00
Space group Immm (No. 71)
Asymmetric unit:
Y  0.000  0.000  0.249 (multiplicity 4)
Ho  0.000  0.000  0.000 (multiplicity 2)
Ho  0.000  0.500  0.121 (multiplicity 4)
Sc  0.000  0.000  0.500 (multiplicity 2)
Sc  0.000  0.500  0.378 (multiplicity 4)

---

Entry 5:
VASP calculation (PBE) on crystalline Y3Ho6Sc at its relaxed geometry.

Raw total energy = -151.738 eV/cell
E above lowest polymorph = 123 meV per atom

abc: 9.7287 9.7287 11.5906
angles: 90.00 90.00 120.00
Space group R3 (No. 146, hexagonal axes)
Asymmetric unit:
Y  0.0000  0.0000  0.0000 (multiplicity 3)
Y  0.0000  0.0000  0.2486 (multiplicity 3)
Y  0.0000  0.0000  0.7400 (multiplicity 3)
Ho  0.0050  0.3287  0.5663 (multiplicity 9)
Ho  0.0117  0.6685  0.0676 (multiplicity 9)
Sc  0.0000  0.0000  0.4962 (multiplicity 3)

---

Entry 6:
VASP calculation (PBE) on crystalline Y4Ho5Sc3 at its relaxed geometry.

Raw total energy = -130.295 eV/cell

abc: 15.902 5.703 9.090
angles: 90.00 117.49 90.00
Space group C2/m (No. 12)
Asymmetric unit:
Y  0.081  0.000  0.439 (multiplicity 4)
Y  0.215  0.000  0.879 (multiplicity 4)
Ho  0.000  0.000  0.000 (multiplicity 2)
Ho  0.074  0.500  0.711 (multiplicity 4)
Ho  0.174  0.500  0.378 (multiplicity 4)
Sc  0.000  0.500  0.000 (multiplicity 2)
Sc  0.214  0.000  0.235 (multiplicity 4)

---

Entry 7:
VASP calculation (PBE) on crystalline YHoSc2 at its relaxed geometry.

Raw total energy = -93.293 eV/cell
E above lowest polymorph = 41 meV per atom

abc: 7.653 7.653 7.653
angles: 90.00 90.00 90.00
Space group Fm-3m (No. 225)
Asymmetric unit:
Y  0.000  0.000  0.000 (multiplicity 4)
Ho  0.000  0.000  0.500 (multiplicity 4)
Sc  0.250  0.250  0.250 (multiplicity 8)

---

Entry 8:
VASP calculation (PBE) on crystalline Y6HoSc3 at its relaxed geometry.

Raw total energy = -244.375 eV/cell
E above lowest polymorph = 0 meV per atom

abc: 9.430 20.362 6.262
angles: 90.00 90.00 90.00
Space group Cmc2_1 (No. 36)
Asymmetric unit:
Y  0.000  0.015  0.000 (multiplicity 4)
Y  0.000  0.302  0.004 (multiplicity 4)
Y  0.178  0.282  0.469 (multiplicity 8)
Y  0.180  0.443  0.211 (multiplicity 8)
Ho  0.000  0.158  0.776 (multiplicity 4)
Sc  0.000  0.416  0.691 (multiplicity 4)
Sc  0.167  0.127  0.307 (multiplicity 8)

---

- Which value of raw total energy does entry 2 give?
  -72.455 eV/cell

---

- The lowest raw total energy belongs to which entry?
  Y6HoSc3

---

- Look up the raw total energy of the fifth one.
  -151.738 eV/cell

---

- Number 7 is which compound?
  YHoSc2